1.
# Mg2TlNiSn (GGA-PBE, optimized geometry)
data_Mg2TlNiSn
_chemical_formula_sum 'Mg2 Tl1 Ni1 Sn1'
_cell_length_a 5.000
_cell_length_b 5.000
_cell_length_c 4.795
_cell_angle_alpha 90.00
_cell_angle_beta 90.00
_cell_angle_gamma 90.00
_symmetry_space_group_name_H-M 'P 4/m m m'
_symmetry_Int_Tables_number 123
_symmetry_space_group_name_Hall '-P 4 2'
loop_
_atom_site_label
_atom_site_fract_x
_atom_site_fract_y
_atom_site_fract_z
_atom_site_occupancy
Mg1 0.000 0.500 0.000 1
Tl1 0.000 0.000 0.500 1
Ni1 0.500 0.500 0.000 1
Sn1 0.500 0.500 0.500 1
# magnetic moment: 0.0 μB per cell
# formation energy from the elements: -0.075 eV per atom
# calculated volume: 23.969 Å³ per atom
# total DFT energy (no corrections): -15.71 eV for the cell shown
# ρ: 6.0 Mg/m³

---

2.
# LiLa5Ti8O24 (GGA-PBE, optimized geometry)
data_LiLa5Ti8O24
_chemical_formula_sum 'Li2 La10 Ti16 O48'
_cell_length_a 15.706
_cell_length_b 7.776
_cell_length_c 8.737
_cell_angle_alpha 90.00
_cell_angle_beta 116.21
_cell_angle_gamma 90.00
_symmetry_space_group_name_H-M 'C 1 m 1'
_symmetry_Int_Tables_number 8
_symmetry_space_group_name_Hall 'C -2y'
loop_
_atom_site_label
_atom_site_fract_x
_atom_site_fract_y
_atom_site_fract_z
_atom_site_occupancy
Li1 0.000 0.000 0.000 1
La1 0.181 0.500 0.575 1
La2 0.184 0.000 0.573 1
La3 0.302 0.500 0.072 1
La4 0.431 0.000 0.556 1
La5 0.432 0.500 0.570 1
Ti1 0.119 0.244 0.832 1
Ti2 0.241 0.246 0.310 1
Ti3 0.372 0.243 0.827 1
Ti4 0.494 0.247 0.306 1
O1 0.002 0.223 0.828 1
O2 0.016 0.000 0.375 1
O3 0.058 0.286 0.580 1
O4 0.118 0.000 0.780 1
O5 0.135 0.249 0.358 1
O6 0.140 0.500 0.837 1
O7 0.196 0.254 0.076 1
O8 0.247 0.247 0.802 1
O9 0.257 0.500 0.337 1
O10 0.258 0.000 0.345 1
O11 0.325 0.244 0.576 1
O12 0.360 0.500 0.796 1
O13 0.380 0.266 0.330 1
O14 0.382 0.000 0.813 1
O15 0.436 0.302 0.074 1
O16 0.498 0.000 0.315 1
# excess energy over the best structure of this formula in the dataset: 7 meV per atom
# energy relative to the elements, uncorrected: -3.191 eV/atom
# magnetic moment: 0.0 μB per cell
# calculated volume: 12.596 Å³ per atom
# total DFT energy (no corrections): -659.96 eV for the cell shown
# ρ: 5.1 Mg/m³

---

3.
# DyThBi2 (GGA-PBE, optimized geometry)
data_DyThBi2
_chemical_formula_sum 'Dy4 Th4 Bi8'
_cell_length_a 6.436
_cell_length_b 6.436
_cell_length_c 12.813
_cell_angle_alpha 90.00
_cell_angle_beta 90.00
_cell_angle_gamma 90.00
_symmetry_space_group_name_H-M 'I 41/a m d'
_symmetry_Int_Tables_number 141
loop_
_symmetry_equiv_pos_as_xyz
'x,y,z'
'-x,-y,-z'
'-y+1/4,x+3/4,z+1/4'
'y+1/4,-x+3/4,-z+1/4'
'-x+1/2,-y,z+1/2'
'x+1/2,y,-z+1/2'
'y+1/4,-x+1/4,z+3/4'
'-y+1/4,x+1/4,-z+3/4'
'x,-y,-z'
'-x,y,z'
'-y+1/4,-x+1/4,-z+3/4'
'y+1/4,x+1/4,z+3/4'
'-x+1/2,y,-z+1/2'
'x+1/2,-y,z+1/2'
'y+1/4,x+3/4,-z+1/4'
'-y+1/4,-x+3/4,z+1/4'
'x+1/2,y+1/2,z+1/2'
'-x+1/2,-y+1/2,-z+1/2'
'-y+3/4,x+1/4,z+3/4'
'y+3/4,-x+1/4,-z+3/4'
'-x,-y+1/2,z'
'x,y+1/2,-z'
'y+3/4,-x+3/4,z+1/4'
'-y+3/4,x+3/4,-z+1/4'
'x+1/2,-y+1/2,-z+1/2'
'-x+1/2,y+1/2,z+1/2'
'-y+3/4,-x+3/4,-z+1/4'
'y+3/4,x+3/4,z+1/4'
'-x,y+1/2,-z'
'x,-y+1/2,z'
'y+3/4,x+1/4,-z+3/4'
'-y+3/4,-x+1/4,z+3/4'
loop_
_atom_site_label
_atom_site_fract_x
_atom_site_fract_y
_atom_site_fract_z
_atom_site_occupancy
Dy1 0.000 0.250 0.375 1
Th1 0.000 0.250 0.875 1
Bi1 0.000 0.250 0.128 1
# excess energy over the best structure of this formula in the dataset: 2 meV per atom
# magnetic moment: 0.0 μB per cell
# formation energy from the elements: -0.708 eV per atom
# calculated volume: 33.169 Å³ per atom
# total DFT energy (no corrections): -90.47 eV for the cell shown
# ρ: 10.2 Mg/m³

---

4.
# Li2NdAg (GGA-PBE, optimized geometry)
data_Li2NdAg
_chemical_formula_sum 'Li8 Nd4 Ag4'
_cell_length_a 4.257
_cell_length_b 10.756
_cell_length_c 7.975
_cell_angle_alpha 90.00
_cell_angle_beta 90.00
_cell_angle_gamma 90.00
_symmetry_space_group_name_H-M 'C m c m'
_symmetry_Int_Tables_number 63
_symmetry_space_group_name_Hall '-C 2c 2'
loop_
_atom_site_label
_atom_site_fract_x
_atom_site_fract_y
_atom_site_fract_z
_atom_site_occupancy
Li1 0.000 0.153 0.055 1
Nd1 0.000 0.440 0.250 1
Ag1 0.000 0.275 0.750 1
# excess energy over the best structure of this formula in the dataset: 0 meV per atom
# magnetic moment: 0.0 μB per cell
# formation energy from the elements: -0.094 eV per atom
# calculated volume: 22.822 Å³ per atom
# total DFT energy (no corrections): -47.29 eV for the cell shown
# ρ: 4.8 Mg/m³

---

5.
# DyB4O7 (GGA-PBE, optimized geometry)
data_DyB4O7
_chemical_formula_sum 'Dy2 B8 O14'
_cell_length_a 11.188
_cell_length_b 4.588
_cell_length_c 4.207
_cell_angle_alpha 90.00
_cell_angle_beta 90.00
_cell_angle_gamma 90.00
_symmetry_space_group_name_H-M 'P m n 21'
_symmetry_Int_Tables_number 31
_symmetry_space_group_name_Hall 'P 2ac -2'
loop_
_atom_site_label
_atom_site_fract_x
_atom_site_fract_y
_atom_site_fract_z
_atom_site_occupancy
Dy1 0.000 0.166 0.000 1
B1 0.122 0.667 0.345 1
B2 0.241 0.823 0.809 1
O1 0.000 0.694 0.209 1
O2 0.129 0.754 0.667 1
O3 0.163 0.380 0.252 1
O4 0.209 0.892 0.154 1
# energy relative to the elements, uncorrected: -2.392 eV/atom
# magnetic moment: 0.4 μB per cell
# calculated volume: 8.998 Å³ per atom
# total DFT energy (no corrections): -189.45 eV for the cell shown
# ρ: 4.9 Mg/m³